# Er3Lu

A relaxed structure of Er3Lu (PBE-GGA, the Alexandria database).

```
Er3Lu
1.0
0.000 3.938 3.938
3.938 0.000 3.938
3.938 3.938 0.000
Er Lu
3 1
Cartesian
0.000 0.000 0.000 Er
1.969 1.969 1.969 Er
5.908 5.908 5.908 Er
3.938 3.938 3.938 Lu
```

Output
**Polymorph energy (0 for the lowest one)**: 0.143 eV per atom
**Space-group type**: Fm-3m
**Energy of formation from the pure elements**: 0.1395 eV/atom
**DFT total energy**: -4.41 eV/atom